A relaxed structure of Nd2Er2Tm5. Source: Alexandria, functional PBE-GGA.

## Properties
Crystal system = monoclinic
Density of states at the Fermi level = 1.439 states/eV per atom
Total energy = -4.328 eV/atom
Mass density = 8.168 g/cm³

a b c (Å): 3.4636 8.1506 12.4176
angles (deg): 120.40 98.01 90.00
Closest atoms and distances in Å follow each position.
Sites, in units of the cell vectors:
Nd: 0.8189 0.7804 0.6377  2 Nd 3.46, 5 Tm 3.48-3.86
Nd: 0.1811 0.2196 0.3623  2 Nd 3.46, 5 Tm 3.48-3.86
Er: 0.5464 0.7378 0.0928  7 Tm 3.18-3.51, 3 Er 3.35-3.46
Er: 0.4536 0.2622 0.9072  7 Tm 3.18-3.51, 3 Er 3.35-3.46
Tm: 0.6907 0.8512 0.3813  1 Er 3.18, 6 Tm 3.19-3.46, 1 Nd 3.48
Tm: 0.3093 0.1488 0.6187  1 Er 3.18, 6 Tm 3.19-3.46, 1 Nd 3.48
Tm: 0.9045 0.5391 0.8090  5 Tm 3.26-3.46, 4 Er 3.47-3.51, 1 Nd 3.54
Tm: 0.0955 0.4609 0.1910  5 Tm 3.26-3.46, 4 Er 3.47-3.51, 1 Nd 3.54
Tm: 0.0000 0.0000 0.0000  4 Tm 3.26-3.46, 4 Er 3.37